# Lu4Cu2O

A relaxed structure of Lu4Cu2O (PBE-GGA, the Alexandria database).

## Properties
- raw total energy (eV per cell) = -37.660
- symmetry = I4/mmm (139)
- E_form (uncorrected) (eV/atom) = -0.918

Unit cell a=4.524 b=4.524 c=7.567 alpha=107.39 beta=107.39 gamma=90.00
Fractional coordinates of all 7 atoms:
Lu 0.500 0.000 0.000
Lu 0.000 0.500 0.000
Lu 0.186 0.186 0.372
Lu 0.814 0.814 0.628
Cu 0.622 0.622 0.244
Cu 0.378 0.378 0.756
O 0.000 0.000 0.000

=====

# Y2Ho3Sc2

A relaxed structure of Y2Ho3Sc2 (PBE-GGA, the Alexandria database).

## Properties
- ΔE_f (eV/atom) = 0.2368
- offset from the most stable computed form (meV per atom) = 11.7
- raw total energy (eV per cell) = -75.333
- symmetry = I2_13 (199)

Unit cell a=8.202 b=8.202 c=8.202 alpha=109.47 beta=109.47 gamma=109.47
Fractional coordinates of all 14 atoms:
Ho 0.815 0.250 0.565
Ho 0.750 0.565 0.315
Ho 0.250 0.935 0.185
Ho 0.685 0.750 0.935
Ho 0.065 0.315 0.250
Ho 0.435 0.185 0.750
Y 0.196 0.696 0.696
Y 0.304 0.500 0.000
Y 0.000 0.000 0.804
Y 0.500 0.804 0.500
Sc 0.601 0.101 0.101
Sc 0.000 0.000 0.399
Sc 0.500 0.399 0.500
Sc 0.899 0.500 0.000

=====

# YHoGeRh

A relaxed structure of YHoGeRh (PBE-GGA, the Alexandria database).

## Properties
- ΔE_f (eV/atom) = -0.8687
- offset from the most stable computed form (meV per atom) = 0.0
- raw total energy (eV per cell) = -26.486
- symmetry = Amm2 (38)

Unit cell a=4.029 b=4.166 c=5.660 alpha=90.00 beta=110.85 gamma=90.00
Fractional coordinates of all 4 atoms:
Y 0.861 0.500 0.723
Ge 0.576 0.500 0.152
Ho 0.141 0.000 0.283
Rh 0.421 0.000 0.842

=====

> Which of these has the highest raw total energy?

YHoGeRh

=====

> What is the formula in the third record?

YHoGeRh